The following is a DFT calculation (GGA-PBE) of crystalline AlFe2 at its relaxed geometry.

Lattice parameters (Å, degrees): 5.5998 5.5998 5.5998 90.00 90.00 90.00
Space group Fm-3m (No. 225)
One atom of each set of equivalent atoms:
Al: 0.0000 0.0000 0.0000
Fe: 0.2500 0.2500 0.2500

Properties
Calculated formation energy: 0.4264 eV per atom



The following is a DFT calculation (GGA-PBE) of crystalline Al3Fe5 at its relaxed geometry.

Lattice parameters (Å, degrees): 9.2259 9.2259 4.7006 90.00 90.00 90.00
Space group I4/mcm (No. 140)
One atom of each set of equivalent atoms:
Al: 0.0000 0.0000 0.2500
Al: 0.1724 0.3276 0.0000
Fe: 0.0000 0.5000 0.2500
Fe: 0.0710 0.2344 0.5000

Properties
Calculated formation energy: -0.1596 eV per atom



Which formula does entry 1 have? AlFe2



calculated formation energy of number 1 (AlFe2)? 0.4264 eV per atom



calculated formation energy of number 2 (Al3Fe5)? -0.1596 eV per atom



What did the second record say?
The following is a DFT calculation (GGA-PBE) of crystalline Al3Fe5 at its relaxed geometry.

Lattice parameters (Å, degrees): 9.2259 9.2259 4.7006 90.00 90.00 90.00
Space group I4/mcm (No. 140)
One atom of each set of equivalent atoms:
Al: 0.0000 0.0000 0.2500
Al: 0.1724 0.3276 0.0000
Fe: 0.0000 0.5000 0.2500
Fe: 0.0710 0.2344 0.5000

Properties
Calculated formation energy: -0.1596 eV per atom